#i
Ag2Pb5Br12: relaxed, PBE. Values from VASP.

Structure (Quantum ESPRESSO input):
```
&SYSTEM
  ibrav = 0, nat = 19, ntyp = 3
/
ATOMIC_SPECIES
Ag 107.87 Ag.upf
Pb 207.20 Pb.upf
Br 79.90 Br.upf
CELL_PARAMETERS angstrom
7.966 0.000 0.000
-3.983 8.570 0.095
0.000 -2.910 9.375
ATOMIC_POSITIONS angstrom
Ag 6.042 0.000 0.000
Ag 1.924 0.000 0.000
Pb 0.000 3.395 6.188
Pb 0.000 5.031 1.537
Pb 0.000 -1.455 4.688
Pb 3.983 0.628 7.933
Pb 3.983 2.265 3.282
Br 3.983 7.754 1.924
Br -1.899 2.935 8.516
Br 1.899 2.935 8.516
Br -1.984 4.754 4.120
Br 1.984 4.754 4.120
Br 0.000 6.217 7.454
Br 3.983 -0.557 2.016
Br 5.967 0.906 5.350
Br 1.999 0.906 5.350
Br 5.883 2.725 0.954
Br 2.084 2.725 0.954
Br 0.000 -2.095 7.546
```



#ii
Ag2Pb5Br12: relaxed, PBE. Values from VASP.

Structure (Quantum ESPRESSO input):
```
&SYSTEM
  ibrav = 0, nat = 19, ntyp = 3
/
ATOMIC_SPECIES
Ag 107.87 Ag.upf
Pb 207.20 Pb.upf
Br 79.90 Br.upf
CELL_PARAMETERS angstrom
8.478 0.000 0.000
-4.239 7.429 -2.970
0.000 -0.385 11.316
ATOMIC_POSITIONS angstrom
Ag 5.747 0.000 0.000
Ag 2.731 0.000 0.000
Pb 0.000 4.495 5.171
Pb 0.000 3.737 -1.483
Pb 0.000 -0.193 5.658
Pb 4.239 3.306 9.829
Pb 4.239 2.549 3.175
Br 4.239 6.237 -0.253
Br -2.100 4.445 7.901
Br 2.100 4.445 7.901
Br -2.148 5.144 3.278
Br 2.148 5.144 3.278
Br 4.239 -0.053 8.936
Br 0.000 7.097 -0.590
Br 6.387 1.900 5.068
Br 2.091 1.900 5.068
Br 6.339 2.598 0.445
Br 2.139 2.598 0.445
Br 0.000 0.806 8.599
```



Which of them is least stable? Easy: #ii.



#i
AgPb3Br: relaxed, PBE. Values from VASP.

Structure (Quantum ESPRESSO input):
```
&SYSTEM
  ibrav = 0, nat = 5, ntyp = 3
/
ATOMIC_SPECIES
Pb 207.20 Pb.upf
Br 79.90 Br.upf
Ag 107.87 Ag.upf
CELL_PARAMETERS angstrom
-3.231 -3.744 2.623
0.227 -3.340 -4.487
4.566 -2.483 2.079
ATOMIC_POSITIONS angstrom
Pb 0.113 -1.670 -2.244
Pb 2.283 -1.242 1.040
Pb -1.615 -1.872 1.312
Br 0.781 -4.784 0.107
Ag 0.000 0.000 0.000
```



#ii
AgPb3Br: relaxed, PBE. Values from VASP.

Structure (Quantum ESPRESSO input):
```
&SYSTEM
  ibrav = 0, nat = 5, ntyp = 3
/
ATOMIC_SPECIES
Pb 207.20 Pb.upf
Br 79.90 Br.upf
Ag 107.87 Ag.upf
CELL_PARAMETERS angstrom
5.714 0.000 0.000
0.000 5.714 0.000
0.000 0.000 5.714
ATOMIC_POSITIONS angstrom
Pb 0.000 2.857 0.000
Pb 0.000 0.000 2.857
Pb 2.857 0.000 0.000
Br 0.000 0.000 0.000
Ag 2.857 2.857 2.857
```



Which of them is least stable? Easy: #ii.



#i
Rb2AgPbBr6: relaxed, PBE. Values from VASP.

Structure (Quantum ESPRESSO input):
```
&SYSTEM
  ibrav = 0, nat = 20, ntyp = 4
/
ATOMIC_SPECIES
Rb 85.47 Rb.upf
Ag 107.87 Ag.upf
Pb 207.20 Pb.upf
Br 79.90 Br.upf
CELL_PARAMETERS angstrom
7.868 0.000 -0.037
0.000 8.051 0.000
0.014 0.000 11.237
ATOMIC_POSITIONS angstrom
Rb 0.126 7.608 2.797
Rb 4.067 4.469 8.397
Rb 7.756 0.443 8.403
Rb 3.815 3.582 2.803
Ag 3.941 0.000 5.600
Ag 0.000 4.026 0.000
Pb 3.934 0.000 -0.018
Pb 0.007 4.026 5.619
Br 2.240 5.682 0.364
Br 6.181 6.395 5.964
Br 5.642 2.369 10.837
Br 1.701 1.656 5.236
Br 2.330 5.767 5.208
Br 6.271 6.309 10.808
Br 5.552 2.284 5.993
Br 1.611 1.742 0.392
Br 7.341 4.093 2.703
Br 3.414 7.984 8.340
Br 0.541 3.959 8.497
Br 4.468 0.067 2.860
```



#ii
Rb2AgPbBr6: relaxed, PBE. Values from VASP.

Structure (Quantum ESPRESSO input):
```
&SYSTEM
  ibrav = 0, nat = 10, ntyp = 4
/
ATOMIC_SPECIES
Pb 207.20 Pb.upf
Br 79.90 Br.upf
Rb 85.47 Rb.upf
Ag 107.87 Ag.upf
CELL_PARAMETERS angstrom
-2.122 4.858 -5.994
-2.492 -6.315 -4.236
-7.492 -0.201 -2.852
ATOMIC_POSITIONS angstrom
Pb 0.000 0.000 0.000
Br -4.850 -0.470 -4.005
Br -7.257 -1.188 -9.077
Br -1.180 -0.373 -2.616
Br -3.435 -1.085 -7.614
Br -2.217 2.001 -5.545
Br -2.398 -3.458 -4.686
Rb -5.961 1.965 -6.981
Rb -6.146 -3.622 -6.101
Ag -2.307 -0.729 -5.115
```



Which of them is least stable? Easy: #ii.



#i
Ag2PdBr: relaxed, PBE. Values from VASP.

Structure (Quantum ESPRESSO input):
```
&SYSTEM
  ibrav = 0, nat = 4, ntyp = 3
/
ATOMIC_SPECIES
Br 79.90 Br.upf
Pd 106.42 Pd.upf
Ag 107.87 Ag.upf
CELL_PARAMETERS angstrom
0.000 3.387 3.387
3.387 0.000 3.387
3.387 3.387 0.000
ATOMIC_POSITIONS angstrom
Br 0.000 0.000 0.000
Pd 3.387 3.387 3.387
Ag 1.694 1.694 1.694
Ag 5.081 5.081 5.081
```



#ii
Ag2PdBr: relaxed, PBE. Values from VASP.

Structure (Quantum ESPRESSO input):
```
&SYSTEM
  ibrav = 0, nat = 8, ntyp = 3
/
ATOMIC_SPECIES
Br 79.90 Br.upf
Pd 106.42 Pd.upf
Ag 107.87 Ag.upf
CELL_PARAMETERS angstrom
7.790 0.000 0.000
0.000 7.790 0.000
3.895 3.895 2.749
ATOMIC_POSITIONS angstrom
Br 3.895 3.895 0.000
Br 3.895 7.790 1.375
Pd 0.000 0.000 0.000
Pd 7.790 3.895 1.375
Ag 5.922 1.948 0.687
Ag 1.868 5.843 0.687
Ag 5.843 5.763 2.062
Ag 9.738 9.817 2.062
```



Which of them is least stable? Easy: #ii.



#i
AgPd3Br: relaxed, PBE. Values from VASP.

Structure (Quantum ESPRESSO input):
```
&SYSTEM
  ibrav = 0, nat = 5, ntyp = 3
/
ATOMIC_SPECIES
Br 79.90 Br.upf
Pd 106.42 Pd.upf
Ag 107.87 Ag.upf
CELL_PARAMETERS angstrom
4.732 0.000 0.000
0.000 4.732 0.000
0.000 0.000 4.732
ATOMIC_POSITIONS angstrom
Br 0.000 0.000 0.000
Pd 0.000 2.366 0.000
Pd 0.000 0.000 2.366
Pd 2.366 0.000 0.000
Ag 2.366 2.366 2.366
```



#ii
AgPd3Br: relaxed, PBE. Values from VASP.

Structure (Quantum ESPRESSO input):
```
&SYSTEM
  ibrav = 0, nat = 5, ntyp = 3
/
ATOMIC_SPECIES
Br 79.90 Br.upf
Pd 106.42 Pd.upf
Ag 107.87 Ag.upf
CELL_PARAMETERS angstrom
4.981 0.000 0.000
0.000 4.981 0.000
0.000 0.000 4.981
ATOMIC_POSITIONS angstrom
Br 2.491 2.491 2.491
Pd 0.000 2.491 0.000
Pd 0.000 0.000 2.491
Pd 2.491 0.000 0.000
Ag 0.000 0.000 0.000
```



Which of them is least stable? Easy: #ii.



#i
Ag2Pd2Br: relaxed, PBE. Values from VASP.

Structure (Quantum ESPRESSO input):
```
&SYSTEM
  ibrav = 0, nat = 10, ntyp = 3
/
ATOMIC_SPECIES
Br 79.90 Br.upf
Pd 106.42 Pd.upf
Ag 107.87 Ag.upf
CELL_PARAMETERS angstrom
-5.097 -4.187 2.342
1.596 -4.702 -4.933
2.517 -1.701 2.436
ATOMIC_POSITIONS angstrom
Br 0.000 0.000 0.000
Br -1.751 -4.444 -1.295
Pd -0.432 -5.474 -3.377
Pd -3.304 -6.614 -1.206
Pd -3.069 -3.415 0.786
Pd -0.197 -2.274 -1.385
Ag 1.540 -4.513 -1.631
Ag -0.682 -7.570 -1.471
Ag -2.524 -6.077 1.476
Ag -0.303 -3.020 1.316
```



#ii
Ag2Pd2Br: relaxed, PBE. Values from VASP.

Structure (Quantum ESPRESSO input):
```
&SYSTEM
  ibrav = 0, nat = 5, ntyp = 3
/
ATOMIC_SPECIES
Br 79.90 Br.upf
Pd 106.42 Pd.upf
Ag 107.87 Ag.upf
CELL_PARAMETERS angstrom
3.867 0.000 0.000
0.000 3.867 0.000
1.934 1.934 6.702
ATOMIC_POSITIONS angstrom
Br 0.000 0.000 0.000
Pd 1.934 1.934 1.348
Pd 3.867 3.867 5.355
Ag 3.867 1.934 3.351
Ag 1.934 3.867 3.351
```



Which of them is least stable? Easy: #ii.